Material: NaWOF2
Method: DFT, PBE+U
State: relaxed

Lattice parameters (Å, degrees): 4.2669 4.2669 4.2172 90.00 90.00 90.00
Last column: nearest neighbours and their distance in Å.
Element x y z (fractional)
W  0.0000  0.0000  0.0000  2 O 2.11, 4 F 2.13
O  0.0000  0.0000  0.5000  2 W 2.11
F  0.0000  0.5000  0.0000  2 W 2.13
Na  0.5000  0.5000  0.5000  8 F 3.00, 4 O 3.02
F  0.5000  0.0000  0.0000  2 W 2.13

Summary:
SG: P4/mmm, No. 123
Total energy in eV/atom: -5.468